Rb2NaCd10: optimized geometry, PBE-GGA.

Computed properties:
- space group = Pbam
- ΔH_f (0 K) (kJ/mol of formula units) = 47.2

Lattice parameters (Å, degrees): 6.0800 20.5147 7.1828 90.00 90.00 90.00
With the nearest neighbours (Å) after each atom.
Element x y z (fractional)
Rb 0.2001 0.1795 0.0000  8 Cd 3.68-4.11
Rb 0.2999 0.6795 0.0000  8 Cd 3.68-4.11
Rb 0.7001 0.3205 0.0000  8 Cd 3.68-4.11
Rb 0.7999 0.8205 0.0000  8 Cd 3.68-4.11
Na 0.0000 0.5000 0.5000  10 Cd 3.19-3.46
Na 0.5000 0.0000 0.5000  10 Cd 3.19-3.46
Cd 0.0204 0.0680 0.5000  5 Cd 2.80-2.99
Cd 0.0964 0.6527 0.5000  5 Cd 2.86-3.14, 1 Na 3.19
Cd 0.1157 0.7919 0.5000  3 Cd 2.86-3.14
Cd 0.2043 0.3959 0.1985  3 Cd 2.85-3.00
Cd 0.2043 0.3959 0.8015  3 Cd 2.85-3.00
Cd 0.2957 0.8959 0.1985  3 Cd 2.85-3.00
Cd 0.2957 0.8959 0.8015  3 Cd 2.85-3.00
Cd 0.3843 0.2919 0.5000  3 Cd 2.86-3.14
Cd 0.4036 0.1527 0.5000  5 Cd 2.86-3.14, 1 Na 3.19
Cd 0.4796 0.5680 0.5000  5 Cd 2.80-2.99
Cd 0.5204 0.4320 0.5000  5 Cd 2.80-2.99
Cd 0.5964 0.8473 0.5000  5 Cd 2.86-3.14, 1 Na 3.19
Cd 0.6157 0.7081 0.5000  3 Cd 2.86-3.14
Cd 0.7043 0.1041 0.1985  3 Cd 2.85-3.00
Cd 0.7043 0.1041 0.8015  3 Cd 2.85-3.00
Cd 0.7957 0.6041 0.1985  3 Cd 2.85-3.00
Cd 0.7957 0.6041 0.8015  3 Cd 2.85-3.00
Cd 0.8843 0.2081 0.5000  3 Cd 2.86-3.14
Cd 0.9036 0.3473 0.5000  5 Cd 2.86-3.14, 1 Na 3.19
Cd 0.9796 0.9320 0.5000  5 Cd 2.80-2.99